(1)
DFT (GGA-PBE) results for SmDy3Al2 after structural relaxation.

Values from the calculation:
Excess energy over the best structure of this formula in the dataset = 0.000 eV per atom
Total moment = 0.00 μB per cell
V = 26.814 Å³ per atom
E_form = -0.280 eV/atom

Cell and atoms, written as POSCAR:
```
SmDy3Al2
1.0
-1.0498 -1.4430 -4.7971
-5.5183 -2.9045 2.0813
-4.8134 8.1442 -1.3964
Dy Sm Al
6 2 4
direct
0.5000 0.6835 0.1749
0.0000 0.4699 0.9560
0.0000 0.9699 0.0440
0.5000 0.1835 0.8251
0.0000 0.3164 0.3195
0.0000 0.8164 0.6805
0.5000 0.0316 0.4577
0.5000 0.5316 0.5423
0.0000 0.2915 0.6472
0.5000 0.7070 0.8556
0.5000 0.2070 0.1444
0.0000 0.7915 0.3528
```

=====

(2)
DFT (GGA-PBE) results for Sm3DyAl2 after structural relaxation.

Values from the calculation:
Excess energy over the best structure of this formula in the dataset = 0.081 eV per atom
Total moment = 0.00 μB per cell
V = 27.302 Å³ per atom
E_form = -0.188 eV/atom

Cell and atoms, written as POSCAR:
```
Sm3DyAl2
1.0
4.9020 0.0000 0.0000
0.0000 8.8587 0.0000
-2.4510 -4.4294 7.5446
Dy Sm Al
2 6 4
direct
0.0000 0.5000 0.0000
0.0000 0.0000 0.0000
0.8246 0.0746 0.6492
0.8246 0.5746 0.6492
0.1754 0.9254 0.3508
0.5000 0.7500 0.0000
0.1754 0.4254 0.3508
0.5000 0.2500 0.0000
0.6555 0.1553 0.3106
0.6551 0.6553 0.3106
0.3449 0.3447 0.6894
0.3445 0.8447 0.6894
```

=====

(3)
DFT (GGA-PBE) results for Sm4DyAl2 after structural relaxation.

Values from the calculation:
Excess energy over the best structure of this formula in the dataset = 0.000 eV per atom
Total moment = 0.00 μB per cell
V = 28.252 Å³ per atom
E_form = -0.182 eV/atom

Cell and atoms, written as POSCAR:
```
Sm4DyAl2
1.0
1.1593 -4.8469 1.9017
-0.6850 -4.3051 -3.0740
7.6776 -2.3143 -3.0978
Al Dy Sm
2 1 4
direct
0.2806 0.2806 0.1582
0.7194 0.7194 0.8418
0.0000 0.0000 0.0000
0.5870 0.5870 0.2389
0.8479 0.8479 0.4564
0.4130 0.4130 0.7611
0.1521 0.1521 0.5436
```

=====

(4)
DFT (GGA-PBE) results for Sm15Dy4Al after structural relaxation.

Values from the calculation:
Total moment = 0.00 μB per cell
V = 32.250 Å³ per atom
E_form = -0.012 eV/atom

Cell and atoms, written as POSCAR:
```
Sm15Dy4Al
1.0
-2.0019 -0.0092 4.6224
-0.6089 -4.9928 -0.2736
23.1228 -3.3684 10.0074
Sm Dy Al
15 4 1
direct
0.0000 0.5000 0.7032
0.0000 0.5000 0.5000
0.0000 0.5000 0.9065
0.5000 0.0000 0.2968
0.5000 0.5000 0.0000
0.5000 0.5000 0.3981
0.0000 0.5000 0.2968
0.5000 0.5000 0.6019
0.5000 0.0000 0.7032
0.5000 0.0000 0.9065
0.5000 0.0000 0.5000
0.5000 0.5000 0.8055
0.0000 0.5000 0.0935
0.5000 0.5000 0.1945
0.5000 0.0000 0.0935
0.0000 0.0000 0.3988
0.0000 0.0000 0.6012
0.0000 0.0000 0.8043
0.0000 0.0000 0.1957
0.0000 0.0000 0.0000
```

=====

(5)
DFT (GGA-PBE) results for SmDy2Al3 after structural relaxation.

Values from the calculation:
Excess energy over the best structure of this formula in the dataset = 0.000 eV per atom
Total moment = 0.00 μB per cell
V = 23.819 Å³ per atom
E_form = -0.391 eV/atom

Cell and atoms, written as POSCAR:
```
SmDy2Al3
1.0
3.6091 0.0000 0.0000
0.0000 3.6091 0.0000
0.0000 0.0000 10.9719
Dy Sm Al
2 1 3
direct
0.5000 0.5000 0.8365
0.5000 0.5000 0.1635
0.5000 0.5000 0.5000
0.0000 0.0000 0.3258
0.0000 0.0000 0.6742
0.0000 0.0000 0.0000
```

=====

(6)
DFT (GGA-PBE) results for Sm6DyAl2 after structural relaxation.

Values from the calculation:
Total moment = 0.00 μB per cell
V = 29.939 Å³ per atom
E_form = -0.147 eV/atom

Cell and atoms, written as POSCAR:
```
Sm6DyAl2
1.0
3.7067 0.0000 0.5885
1.6329 6.2285 1.6825
0.0499 -0.1139 11.6531
Dy Sm Al
1 6 2
direct
0.0000 0.0000 0.0000
0.9756 0.7232 0.3257
0.6864 0.5036 0.1236
0.3113 0.7879 0.5896
0.6887 0.2121 0.4104
0.3136 0.4964 0.8764
0.0244 0.2768 0.6743
0.3517 0.0974 0.1992
0.6483 0.9026 0.8008
```

=====

(7)
DFT (GGA-PBE) results for SmDy3Al8 after structural relaxation.

Values from the calculation:
Excess energy over the best structure of this formula in the dataset = 0.009 eV per atom
Total moment = 0.00 μB per cell
V = 20.500 Å³ per atom
E_form = -0.506 eV/atom

Cell and atoms, written as POSCAR:
```
SmDy3Al8
1.0
-0.7977 5.1940 -1.8460
-3.6662 -2.3043 3.5030
4.7516 3.2591 7.1168
Dy Al Sm
3 8 1
direct
0.6667 0.3333 0.0672
0.6667 0.3333 0.4313
0.0000 0.0000 0.9321
0.6757 0.8378 0.2486
0.5045 0.4955 0.7518
0.1622 0.3243 0.2486
0.3333 0.6667 0.0009
0.5045 0.0091 0.7518
0.9909 0.4955 0.7518
0.1622 0.8378 0.2486
0.3333 0.6667 0.4992
0.0000 0.0000 0.5680
```

=====

(8)
DFT (GGA-PBE) results for Sm5DyAl6 after structural relaxation.

Values from the calculation:
Total moment = 0.00 μB per cell
V = 24.641 Å³ per atom
E_form = -0.377 eV/atom

Cell and atoms, written as POSCAR:
```
Sm5DyAl6
1.0
-4.3009 0.9665 -2.7313
2.9358 -3.3660 -5.8138
-3.7153 -7.9548 -1.8931
Dy Sm Al
1 5 6
direct
0.0000 0.0000 0.0000
0.6695 0.1695 0.6610
0.6649 0.6650 0.6700
0.3351 0.3350 0.3300
0.0000 0.5000 0.0000
0.3305 0.8305 0.3390
0.1647 0.9193 0.6704
0.5000 0.2410 0.0000
0.5000 0.7590 0.0000
0.8353 0.5898 0.3296
0.1647 0.4102 0.6704
0.8353 0.0807 0.3296
```

=====

(9)
DFT (GGA-PBE) results for Sm12Dy5Al2 after structural relaxation.

Values from the calculation:
Total moment = 0.00 μB per cell
V = 31.910 Å³ per atom
E_form = 0.063 eV/atom

Cell and atoms, written as POSCAR:
```
Sm12Dy5Al2
1.0
8.0334 0.0000 0.0000
-4.0167 8.3951 2.9531
0.0000 -0.1586 8.9342
Al Sm Dy
2 12 5
direct
0.3382 0.0000 0.0000
0.6618 0.0000 0.0000
0.5198 0.0396 0.3079
0.6132 0.6934 0.4712
0.0491 0.0981 0.8312
0.4802 0.9604 0.6921
0.0802 0.6934 0.4712
0.9509 0.9019 0.1688
0.9382 0.2765 0.1312
0.3383 0.2765 0.1312
0.3868 0.3066 0.5288
0.6617 0.7235 0.8688
0.9198 0.3066 0.5288
0.0618 0.7235 0.8688
0.2488 0.4975 0.7794
0.3142 0.6283 0.1710
0.6858 0.3717 0.8290
0.7512 0.5025 0.2206
0.0000 0.0000 0.5000
```

=====

(10)
DFT (GGA-PBE) results for Sm3DyAl2 after structural relaxation.

Values from the calculation:
Excess energy over the best structure of this formula in the dataset = 0.000 eV per atom
Total moment = 0.00 μB per cell
V = 27.659 Å³ per atom
E_form = -0.269 eV/atom

Cell and atoms, written as POSCAR:
```
Sm3DyAl2
1.0
5.1784 0.0000 0.0000
0.0000 6.6374 0.0000
0.0000 0.0000 9.6567
Dy Sm Al
2 6 4
direct
0.5000 0.0246 0.4564
0.5000 0.5246 0.5436
0.5000 0.6895 0.1772
0.0000 0.3103 0.3284
0.0000 0.9741 0.0417
0.5000 0.1895 0.8228
0.0000 0.4741 0.9583
0.0000 0.8103 0.6716
0.5000 0.2067 0.1495
0.0000 0.2948 0.6475
0.0000 0.7948 0.3525
0.5000 0.7067 0.8505
```

=====

(11)
DFT (GGA-PBE) results for Sm4DyAl2 after structural relaxation.

Values from the calculation:
Excess energy over the best structure of this formula in the dataset = 0.288 eV per atom
Total moment = 0.00 μB per cell
V = 32.832 Å³ per atom
E_form = 0.106 eV/atom

Cell and atoms, written as POSCAR:
```
Sm4DyAl2
1.0
-3.7398 2.7101 -2.1892
-3.8010 1.8797 2.8536
2.8067 10.0581 1.6903
Al Sm Dy
2 4 1
direct
0.4011 0.4011 0.7967
0.5989 0.5989 0.2033
0.7024 0.7024 0.8929
0.1036 0.1036 0.6893
0.8964 0.8964 0.3107
0.2976 0.2976 0.1071
0.5000 0.5000 0.5000
```

=====

(12)
DFT (GGA-PBE) results for SmDy12Al3 after structural relaxation.

Values from the calculation:
Total moment = 0.00 μB per cell
V = 28.143 Å³ per atom
E_form = -0.125 eV/atom

Cell and atoms, written as POSCAR:
```
SmDy12Al3
1.0
-2.4961 -2.7062 3.0711
3.7737 -2.9147 0.4988
6.4787 10.9387 14.9048
Dy Sm Al
12 1 3
direct
0.5000 0.5000 0.7418
0.0000 0.5000 0.1357
0.0000 0.5000 0.8643
0.5000 0.5000 0.2582
0.5000 0.0000 0.6214
0.5000 0.0000 0.8643
0.5000 0.0000 0.1357
0.0000 0.5000 0.6214
0.5000 0.0000 0.3786
0.0000 0.5000 0.3786
0.5000 0.5000 0.0000
0.5000 0.5000 0.5000
0.0000 0.0000 0.0000
0.0000 0.0000 0.5000
0.0000 0.0000 0.2585
0.0000 0.0000 0.7415
```

=====

(13)
DFT (GGA-PBE) results for Sm9Dy4Al11 after structural relaxation.

Values from the calculation:
Total moment = 0.00 μB per cell
V = 25.186 Å³ per atom
E_form = -0.305 eV/atom

Cell and atoms, written as POSCAR:
```
Sm9Dy4Al11
1.0
-2.6345 0.4948 2.1643
-7.2277 -9.5036 -6.6251
7.1684 -5.8242 10.0570
Al Sm Dy
11 9 4
direct
0.0000 0.9541 0.5854
0.0000 0.4146 0.0459
0.0000 0.0459 0.4146
0.0000 0.7873 0.7873
0.0000 0.2127 0.2127
0.0000 0.0000 0.0000
0.0000 0.1840 0.8160
0.0000 0.3776 0.6224
0.0000 0.5854 0.9541
0.0000 0.6224 0.3776
0.0000 0.8160 0.1840
0.5000 0.6153 0.1587
0.5000 0.8413 0.3847
0.5000 0.0180 0.2042
0.5000 0.2042 0.0180
0.5000 0.7958 0.9820
0.5000 0.9820 0.7958
0.5000 0.1587 0.6153
0.5000 0.3847 0.8413
0.5000 0.5000 0.5000
0.5000 0.4120 0.2434
0.5000 0.5880 0.7566
0.5000 0.7566 0.5880
0.5000 0.2434 0.4120
```

=====

(14)
DFT (GGA-PBE) results for Sm2DyAl6 after structural relaxation.

Values from the calculation:
Excess energy over the best structure of this formula in the dataset = 0.000 eV per atom
Total moment = 0.00 μB per cell
V = 21.683 Å³ per atom
E_form = -0.487 eV/atom

Cell and atoms, written as POSCAR:
```
Sm2DyAl6
1.0
-0.2470 -1.9804 -2.9501
6.2136 3.8663 -3.1157
1.1668 -6.5773 4.3177
Al Sm Dy
6 2 1
direct
0.5000 0.3320 0.3320
0.5000 0.0000 0.3320
0.5000 0.0000 0.6680
0.5000 0.6680 0.6680
0.5000 0.6680 0.0000
0.5000 0.3320 0.0000
0.0000 0.6667 0.3333
0.0000 0.3333 0.6667
0.0000 0.0000 0.0000
```

=====

(15)
DFT (GGA-PBE) results for Sm3Dy2Al3 after structural relaxation.

Values from the calculation:
Excess energy over the best structure of this formula in the dataset = 0.056 eV per atom
Total moment = 0.00 μB per cell
V = 26.196 Å³ per atom
E_form = -0.225 eV/atom

Cell and atoms, written as POSCAR:
```
Sm3Dy2Al3
1.0
3.3187 0.0000 0.0000
0.0000 7.3952 -4.2696
0.0000 0.0000 8.5392
Sm Al Dy
3 3 2
direct
0.0000 0.7564 0.7564
0.0000 0.2436 0.0000
0.0000 0.0000 0.2436
0.5000 0.3849 0.3849
0.5000 0.0000 0.6151
0.5000 0.6151 0.0000
0.0000 0.6667 0.3333
0.0000 0.3333 0.6667
```

=====

(16)
DFT (GGA-PBE) results for SmDy8Al2 after structural relaxation.

Values from the calculation:
Total moment = 0.00 μB per cell
V = 33.257 Å³ per atom
E_form = 0.303 eV/atom

Cell and atoms, written as POSCAR:
```
SmDy8Al2
1.0
5.1212 0.2332 0.1995
0.8105 8.5759 0.2416
0.8105 1.5681 8.4348
Dy Al Sm
8 2 1
direct
0.7759 0.1599 0.6345
0.2241 0.3655 0.8401
0.1147 0.7679 0.7679
0.2875 0.4162 0.4162
0.7125 0.5838 0.5838
0.2241 0.8401 0.3655
0.8853 0.2321 0.2321
0.7759 0.6345 0.1599
0.5530 0.8867 0.8867
0.4470 0.1133 0.1133
0.0000 0.0000 0.0000
```

=====

(17)
DFT (GGA-PBE) results for Sm6Dy8Al after structural relaxation.

Values from the calculation:
Total moment = 0.00 μB per cell
V = 32.151 Å³ per atom
E_form = 0.083 eV/atom

Cell and atoms, written as POSCAR:
```
Sm6Dy8Al
1.0
-5.7502 0.6973 2.3831
-3.2371 2.4206 -8.5188
-0.0004 -9.0499 2.6469
Sm Dy Al
6 8 1
direct
0.3103 0.5461 0.6375
0.6897 0.6375 0.0915
0.3103 0.0915 0.4539
0.6897 0.4539 0.3625
0.6897 0.9085 0.5461
0.3103 0.3625 0.9085
0.1840 0.6667 0.3333
0.1982 0.2584 0.2179
0.8018 0.0405 0.2584
0.1982 0.7821 0.0405
0.8018 0.7416 0.7821
0.1982 0.9595 0.7416
0.8160 0.3333 0.6667
0.8018 0.2179 0.9595
0.5000 0.0000 0.0000
```

=====

(18)
DFT (GGA-PBE) results for SmDy3Al2 after structural relaxation.

Values from the calculation:
Excess energy over the best structure of this formula in the dataset = 0.099 eV per atom
Total moment = 0.00 μB per cell
V = 26.221 Å³ per atom
E_form = -0.182 eV/atom

Cell and atoms, written as POSCAR:
```
SmDy3Al2
1.0
-1.0627 4.6765 0.0158
-4.1498 -0.9692 7.7722
8.9383 -0.4279 -0.3354
Dy Al Sm
6 4 2
direct
0.8256 0.0755 0.6511
0.8256 0.5755 0.6511
0.5000 0.2500 0.0000
0.1744 0.4245 0.3489
0.5000 0.7500 0.0000
0.1744 0.9245 0.3489
0.3392 0.8391 0.6783
0.6608 0.1609 0.3217
0.6609 0.6609 0.3217
0.3391 0.3391 0.6783
0.0000 0.0000 0.0000
0.0000 0.5000 0.0000
```

=====

(19)
DFT (GGA-PBE) results for SmDy2Al3 after structural relaxation.

Values from the calculation:
Excess energy over the best structure of this formula in the dataset = 0.261 eV per atom
Total moment = 0.00 μB per cell
V = 26.016 Å³ per atom
E_form = -0.130 eV/atom

Cell and atoms, written as POSCAR:
```
SmDy2Al3
1.0
5.9634 0.0000 0.0000
0.0000 10.0796 0.0000
-2.9817 -5.0398 5.1938
Sm Al Dy
2 6 4
direct
0.5001 0.2500 0.5000
0.4999 0.7500 0.5000
0.0000 0.0000 0.5000
0.0000 0.5000 0.5000
0.5000 0.7500 0.0000
0.0000 0.2500 0.0000
0.5000 0.2500 0.0000
0.0000 0.7500 0.0000
0.1663 0.4162 0.8325
0.1662 0.9162 0.8325
0.8338 0.0838 0.1675
0.8337 0.5838 0.1675
```

=====

(20)
DFT (GGA-PBE) results for Sm2Dy3Al4 after structural relaxation.

Values from the calculation:
Total moment = 0.00 μB per cell
V = 26.189 Å³ per atom
E_form = -0.210 eV/atom

Cell and atoms, written as POSCAR:
```
Sm2Dy3Al4
1.0
-5.0251 -3.0113 2.1607
-2.0419 -1.7676 -7.2123
7.7186 -6.7821 -0.5231
Al Dy Sm
8 6 4
direct
0.8484 0.0077 0.6968
0.8367 0.2500 0.1735
0.3484 0.4923 0.6968
0.1633 0.7500 0.8265
0.3367 0.2500 0.1735
0.6516 0.5077 0.3032
0.1516 0.9923 0.3032
0.6633 0.7500 0.8265
0.9988 0.2500 0.4976
0.4988 0.2500 0.4976
0.0000 0.0000 0.0000
0.5000 0.5000 0.0000
0.0012 0.7500 0.5024
0.5012 0.7500 0.5024
0.5887 0.8972 0.1774
0.0887 0.6028 0.1774
0.4113 0.1028 0.8226
0.9113 0.3972 0.8226
```